<i>
Computed, not measured: BeAlAu after structural relaxation at the PBE-GGA level of DFT.

Properties
Magnetic moment ... 0.000 μB per atom
Fermi-level density of states ... 2.4 states/eV/cell

Structure (extended XYZ):
```
3
Lattice="0.000 2.909 2.909 2.909 0.000 2.909 2.909 2.909 0.000" Properties=species:S:1:pos:R:3 pbc="T T T"
Be 0.000 0.000 0.000
Al 2.909 2.909 2.909
Au 1.455 1.455 1.455
```

=====

<ii>
Computed, not measured: BeAlAu after structural relaxation at the PBE-GGA level of DFT.

Properties
Magnetic moment ... 0.000 μB per atom
Fermi-level density of states ... 1.4 states/eV/cell

Structure (extended XYZ):
```
3
Lattice="4.064 0.000 0.000 -2.032 3.520 0.000 0.000 0.000 3.085" Properties=species:S:1:pos:R:3 pbc="T T T"
Be 0.000 0.000 0.000
Al 2.032 1.173 1.542
Au 0.000 2.346 0.000
```

=====

<iii>
Computed, not measured: BeAlAu after structural relaxation at the PBE-GGA level of DFT.

Properties
Magnetic moment ... 0.000 μB per atom
Fermi-level density of states ... 2.2 states/eV/cell

Structure (extended XYZ):
```
6
Lattice="3.771 0.000 0.000 0.000 3.771 0.000 0.000 0.000 6.189" Properties=species:S:1:pos:R:3 pbc="T T T"
Be 0.943 2.828 0.000
Be 2.828 0.943 0.000
Al 0.943 0.943 2.045
Al 2.828 2.828 4.144
Au 0.943 0.943 4.664
Au 2.828 2.828 1.525
```

=====

<iii> is favored, and the nearest alternative lies 6.4 kJ/mol of atoms above it.

=====

<i>
Computed, not measured: BeAlAu4 after structural relaxation at the PBE-GGA level of DFT.

Properties
Magnetic moment ... 0.000 μB per atom
Fermi-level density of states ... 3.5 states/eV/cell

Structure (extended XYZ):
```
12
Lattice="3.711 -5.567 0.000 3.711 5.567 0.000 -1.721 0.000 4.674" Properties=species:S:1:pos:R:3 pbc="T T T"
Be 2.421 5.539 3.505
Be 3.281 -5.539 1.168
Al 2.421 1.357 3.505
Al 3.281 -1.357 1.168
Au 2.134 3.573 2.034
Au 1.954 0.922 0.676
Au 4.428 3.573 0.303
Au 1.094 -0.922 3.013
Au 4.608 0.922 1.660
Au 1.274 -3.573 4.371
Au 3.748 -0.922 3.997
Au 3.568 -3.573 2.640
```

=====

<ii>
Computed, not measured: BeAlAu4 after structural relaxation at the PBE-GGA level of DFT.

Properties
Magnetic moment ... 0.000 μB per atom
Fermi-level density of states ... 2.7 states/eV/cell

Structure (extended XYZ):
```
12
Lattice="5.851 0.000 0.000 0.002 6.102 0.000 2.588 3.048 5.886" Properties=species:S:1:pos:R:3 pbc="T T T"
Be 1.375 3.055 1.500
Be 7.066 6.094 4.387
Al 4.114 3.048 4.443
Al 4.327 6.101 1.443
Au 5.852 1.604 0.002
Au 2.589 7.545 5.884
Au 2.699 7.589 2.920
Au 2.699 4.613 2.921
Au 2.926 1.648 0.000
Au 5.515 7.501 5.886
Au 5.742 4.537 2.965
Au 5.742 1.560 2.966
```

=====

<i> is favored, and the nearest alternative lies 2.0 kJ/mol of atoms above it.

=====

<i>
Computed, not measured: AlBi2Au2 after structural relaxation at the PBE-GGA level of DFT.

Properties
Magnetic moment ... 0.000 μB per atom
Fermi-level density of states ... 7.1 states/eV/cell

Structure (extended XYZ):
```
10
Lattice="6.910 0.000 0.000 0.000 6.910 0.000 0.000 0.000 4.987" Properties=species:S:1:pos:R:3 pbc="T T T"
Al 0.000 0.000 0.000
Al 3.455 3.455 0.000
Bi 1.215 2.240 2.493
Bi 2.240 5.694 2.493
Bi 4.670 1.215 2.493
Bi 5.694 4.670 2.493
Au 1.020 4.475 0.000
Au 2.434 1.020 0.000
Au 4.475 5.889 0.000
Au 5.889 2.434 0.000
```

=====

<ii>
Computed, not measured: AlBi2Au2 after structural relaxation at the PBE-GGA level of DFT.

Properties
Magnetic moment ... 0.000 μB per atom
Fermi-level density of states ... 4.8 states/eV/cell

Structure (extended XYZ):
```
10
Lattice="8.077 0.000 0.000 0.000 8.077 0.000 0.000 0.000 3.920" Properties=species:S:1:pos:R:3 pbc="T T T"
Al 0.000 0.000 0.000
Al 4.039 4.039 0.000
Bi 1.475 2.564 0.000
Bi 2.564 6.602 0.000
Bi 5.514 1.475 0.000
Bi 6.602 5.514 0.000
Au 0.996 5.035 1.960
Au 3.042 0.996 1.960
Au 5.035 7.081 1.960
Au 7.081 3.042 1.960
```

=====

<i> is favored, and the nearest alternative lies 19.2 kJ/mol of atoms above it.